No. 1
Ga2TeBr8 | GGA-PBE | optimized geometry

Cell and atoms, written as CIF:
```
data_Ga2TeBr8
_cell_length_a 8.239
_cell_length_b 7.807
_cell_length_c 7.807
_cell_angle_alpha 79.12
_cell_angle_beta 90.61
_cell_angle_gamma 90.61
_symmetry_space_group_name_H-M 'P 1'
_symmetry_Int_Tables_number 1
_symmetry_space_group_name_Hall 'P 1'
loop_
_atom_site_label
_atom_site_type_symbol
_atom_site_fract_x
_atom_site_fract_y
_atom_site_fract_z
Te1 Te 0.000 0.000 0.000
Br1 Br 0.779 0.097 0.725
Br2 Br 0.850 0.631 0.631
Ga1 Ga 0.693 0.787 0.787
Br3 Br 0.585 0.230 0.230
Ga2 Ga 0.307 0.213 0.213
Br4 Br 0.150 0.369 0.369
Br5 Br 0.221 0.903 0.275
Br6 Br 0.221 0.275 0.903
Br7 Br 0.779 0.725 0.097
Br8 Br 0.415 0.770 0.770
```

Values from the calculation:
E_tot, eV per atom: -2.687
Formation energy from raw total energies, eV per atom: -0.63
Space group: C2/m (12)


No. 2
BePdPt2 | GGA-PBE | optimized geometry

Cell and atoms, written as CIF:
```
data_BePdPt2
_cell_length_a 3.860
_cell_length_b 3.937
_cell_length_c 7.816
_cell_angle_alpha 75.22
_cell_angle_beta 90.00
_cell_angle_gamma 90.00
_symmetry_space_group_name_H-M 'P 1'
_symmetry_Int_Tables_number 1
_symmetry_space_group_name_Hall 'P 1'
loop_
_atom_site_label
_atom_site_type_symbol
_atom_site_fract_x
_atom_site_fract_y
_atom_site_fract_z
Pd1 Pd 0.750 0.068 0.863
Pt1 Pt 0.250 0.750 0.499
Pt2 Pt 0.250 0.570 0.861
Pt3 Pt 0.750 0.250 0.501
Be1 Be 0.250 0.338 0.324
Be2 Be 0.750 0.662 0.676
Pt4 Pt 0.750 0.430 0.139
Pd2 Pd 0.250 0.932 0.137
```

Values from the calculation:
Calculated formation energy, eV/atom: -0.34
E_tot, eV per atom: -5.595
Offset from the most stable computed form, eV per atom: 0.1225
Space group: P2_1/m (11)
DOS(E_F), states/eV/f.u.: 2.36


No. 3
AcBi2Ir | GGA-PBE | optimized geometry

Cell and atoms, written as CIF:
```
data_AcBi2Ir
_cell_length_a 5.076
_cell_length_b 4.673
_cell_length_c 4.673
_cell_angle_alpha 90.00
_cell_angle_beta 90.00
_cell_angle_gamma 90.00
_symmetry_space_group_name_H-M 'P 1'
_symmetry_Int_Tables_number 1
_symmetry_space_group_name_Hall 'P 1'
loop_
_atom_site_label
_atom_site_type_symbol
_atom_site_fract_x
_atom_site_fract_y
_atom_site_fract_z
Ac1 Ac 0.500 0.000 0.000
Bi1 Bi 0.000 0.000 0.500
Bi2 Bi 0.000 0.500 0.000
Ir1 Ir 0.500 0.500 0.500
```

Values from the calculation:
Calculated formation energy, eV/atom: -0.10
E_tot, eV per atom: -5.279
Offset from the most stable computed form, eV per atom: 0.0000
Space group: P4/mmm (123)
DOS(E_F), states/eV/f.u.: 3.19


No. 4
Cs3KMo | GGA-PBE | optimized geometry

Cell and atoms, written as CIF:
```
data_Cs3KMo
_cell_length_a 7.728
_cell_length_b 7.728
_cell_length_c 7.728
_cell_angle_alpha 90.00
_cell_angle_beta 90.00
_cell_angle_gamma 90.00
_symmetry_space_group_name_H-M 'P 1'
_symmetry_Int_Tables_number 1
_symmetry_space_group_name_Hall 'P 1'
loop_
_atom_site_label
_atom_site_type_symbol
_atom_site_fract_x
_atom_site_fract_y
_atom_site_fract_z
Cs1 Cs 0.500 0.000 0.000
Mo1 Mo 0.000 0.000 0.000
Cs2 Cs 0.000 0.500 0.000
Cs3 Cs 0.000 0.000 0.500
K1 K 0.500 0.500 0.500
```

Values from the calculation:
Calculated formation energy, eV/atom: 0.98
E_tot, eV per atom: -1.919
Space group: Pm-3m (221)
DOS(E_F), states/eV/f.u.: 3.48


No. 5
Bi4B2O9 | GGA-PBE | optimized geometry

Cell and atoms, written as CIF:
```
data_Bi4B2O9
_cell_length_a 6.645
_cell_length_b 11.211
_cell_length_c 11.283
_cell_angle_alpha 90.17
_cell_angle_beta 90.00
_cell_angle_gamma 90.00
_symmetry_space_group_name_H-M 'P 1'
_symmetry_Int_Tables_number 1
_symmetry_space_group_name_Hall 'P 1'
loop_
_atom_site_label
_atom_site_type_symbol
_atom_site_fract_x
_atom_site_fract_y
_atom_site_fract_z
Bi1 Bi 0.076 0.341 0.499
O1 O 0.727 0.866 0.676
O2 O 0.687 0.159 0.709
O3 O 0.905 0.110 0.498
O4 O 0.209 0.860 0.813
B1 B 0.746 0.255 0.223
Bi2 Bi 0.452 0.009 0.196
O5 O 0.765 0.352 0.145
O6 O 0.291 0.360 0.813
Bi3 Bi 0.560 0.480 0.344
B2 B 0.736 0.766 0.751
O7 O 0.658 0.513 0.920
O8 O 0.595 0.610 0.498
O9 O 0.167 0.717 0.135
O10 O 0.842 0.013 0.920
O11 O 0.333 0.217 0.135
Bi4 Bi 0.548 0.991 0.804
O12 O 0.227 0.634 0.324
O13 O 0.187 0.341 0.291
Bi5 Bi 0.440 0.520 0.656
O14 O 0.773 0.366 0.676
O15 O 0.833 0.283 0.865
B3 B 0.254 0.745 0.777
O16 O 0.265 0.148 0.855
O17 O 0.667 0.783 0.865
B4 B 0.264 0.234 0.249
O18 O 0.603 0.994 0.386
Bi6 Bi 0.576 0.159 0.501
Bi7 Bi 0.424 0.841 0.499
O19 O 0.313 0.841 0.291
Bi8 Bi 0.060 0.020 0.656
B5 B 0.246 0.245 0.777
Bi9 Bi 0.924 0.659 0.501
O20 O 0.397 0.006 0.614
O21 O 0.342 0.487 0.080
B6 B 0.754 0.755 0.223
Bi10 Bi 0.940 0.980 0.344
O22 O 0.709 0.640 0.187
Bi11 Bi 0.952 0.491 0.804
O23 O 0.323 0.721 0.663
O24 O 0.677 0.279 0.337
Bi12 Bi 0.982 0.847 0.991
O25 O 0.273 0.134 0.324
O26 O 0.897 0.494 0.386
B7 B 0.236 0.734 0.249
O27 O 0.813 0.659 0.709
O28 O 0.103 0.506 0.614
Bi13 Bi 0.482 0.653 0.009
O29 O 0.791 0.140 0.187
O30 O 0.158 0.987 0.080
Bi14 Bi 0.518 0.347 0.991
O31 O 0.823 0.779 0.337
Bi15 Bi 0.048 0.509 0.196
O32 O 0.235 0.648 0.855
Bi16 Bi 0.018 0.153 0.009
B8 B 0.764 0.266 0.751
O33 O 0.095 0.890 0.502
O34 O 0.405 0.390 0.502
O35 O 0.735 0.852 0.145
O36 O 0.177 0.221 0.663
```

Values from the calculation:
E_tot, eV per atom: -6.569
Formation energy from raw total energies, eV per atom: -1.67
Space group: P2_1/c (14)
DOS(E_F), states/eV/f.u.: 0.00


No. 6
YAs3Rh5 | GGA-PBE | optimized geometry

Cell and atoms, written as CIF:
```
data_YAs3Rh5
_cell_length_a 3.897
_cell_length_b 6.693
_cell_length_c 12.626
_cell_angle_alpha 90.00
_cell_angle_beta 90.00
_cell_angle_gamma 106.93
_symmetry_space_group_name_H-M 'P 1'
_symmetry_Int_Tables_number 1
_symmetry_space_group_name_Hall 'P 1'
loop_
_atom_site_label
_atom_site_type_symbol
_atom_site_fract_x
_atom_site_fract_y
_atom_site_fract_z
As1 As 0.617 0.235 0.042
Rh1 Rh 0.450 0.901 0.144
As2 As 0.617 0.235 0.458
Rh2 Rh 0.203 0.407 0.925
Rh3 Rh 0.550 0.099 0.856
Rh4 Rh 0.450 0.901 0.356
Y1 Y 0.885 0.769 0.750
Rh5 Rh 0.550 0.099 0.644
As3 As 0.383 0.765 0.958
Y2 Y 0.115 0.231 0.250
Rh6 Rh 0.000 0.000 0.000
Rh7 Rh 0.797 0.593 0.075
As4 As 0.877 0.755 0.250
Rh8 Rh 0.797 0.593 0.425
Rh9 Rh 0.203 0.407 0.575
Rh10 Rh 0.000 0.000 0.500
As5 As 0.383 0.765 0.542
As6 As 0.123 0.245 0.750
```

Values from the calculation:
Calculated formation energy, eV/atom: -0.58
E_tot, eV per atom: -6.932
Space group: Cmcm (63)
DOS(E_F), states/eV/f.u.: 5.39


No. 7
In3Ir | GGA-PBE | optimized geometry

Cell and atoms, written as CIF:
```
data_In3Ir
_cell_length_a 5.286
_cell_length_b 5.286
_cell_length_c 5.286
_cell_angle_alpha 136.75
_cell_angle_beta 111.93
_cell_angle_gamma 84.16
_symmetry_space_group_name_H-M 'P 1'
_symmetry_Int_Tables_number 1
_symmetry_space_group_name_Hall 'P 1'
loop_
_atom_site_label
_atom_site_type_symbol
_atom_site_fract_x
_atom_site_fract_y
_atom_site_fract_z
In1 In 0.704 0.692 0.012
In2 In 0.320 0.308 0.012
Ir1 Ir 0.747 0.000 0.747
In3 In 0.062 0.500 0.562
```

Values from the calculation:
Calculated formation energy, eV/atom: -0.05
E_tot, eV per atom: -4.316
Space group: Imm2 (44)
DOS(E_F), states/eV/f.u.: 1.61


No. 8
TaReAu2 | GGA-PBE | optimized geometry

Cell and atoms, written as CIF:
```
data_TaReAu2
_cell_length_a 5.164
_cell_length_b 5.164
_cell_length_c 5.164
_cell_angle_alpha 135.23
_cell_angle_beta 135.28
_cell_angle_gamma 65.14
_symmetry_space_group_name_H-M 'P 1'
_symmetry_Int_Tables_number 1
_symmetry_space_group_name_Hall 'P 1'
loop_
_atom_site_label
_atom_site_type_symbol
_atom_site_fract_x
_atom_site_fract_y
_atom_site_fract_z
Re1 Re 0.750 0.250 0.500
Ta1 Ta 0.250 0.750 0.500
Au1 Au 0.500 0.500 0.000
Au2 Au 0.000 0.000 0.000
```

Values from the calculation:
Calculated formation energy, eV/atom: 0.18
E_tot, eV per atom: -7.529
Offset from the most stable computed form, eV per atom: 0.0765
Space group: I4/mmm (139)
DOS(E_F), states/eV/f.u.: 2.65


No. 9
MgPa4Ga5 | GGA-PBE | optimized geometry

Cell and atoms, written as CIF:
```
data_MgPa4Ga5
_cell_length_a 3.196
_cell_length_b 3.196
_cell_length_c 20.547
_cell_angle_alpha 90.00
_cell_angle_beta 90.00
_cell_angle_gamma 90.00
_symmetry_space_group_name_H-M 'P 1'
_symmetry_Int_Tables_number 1
_symmetry_space_group_name_Hall 'P 1'
loop_
_atom_site_label
_atom_site_type_symbol
_atom_site_fract_x
_atom_site_fract_y
_atom_site_fract_z
Ga1 Ga 0.500 0.500 0.912
Ga2 Ga 0.500 0.500 0.500
Pa1 Pa 0.000 0.000 0.397
Mg1 Mg 0.000 0.000 0.000
Pa2 Pa 0.000 0.000 0.603
Ga3 Ga 0.500 0.500 0.707
Ga4 Ga 0.500 0.500 0.088
Pa3 Pa 0.000 0.000 0.810
Pa4 Pa 0.000 0.000 0.190
Ga5 Ga 0.500 0.500 0.293
```

Values from the calculation:
Calculated formation energy, eV/atom: -0.23
E_tot, eV per atom: -5.704
Space group: P4/mmm (123)
DOS(E_F), states/eV/f.u.: 13.48